No. 1
## PuTe4Pb2 (GGA-PBE)

Data for a geometry-optimized PuTe4Pb2 structure.

Cell lengths 4.3590, 15.3164, 14.7741 Å; angles 90.00, 90.00, 90.00 degrees
Space group Cmcm (No. 63)
One atom of each set of equivalent atoms:
Pu 0.0000 0.1146 0.2500 (multiplicity 4)
Te 0.0000 0.0000 0.0000 (multiplicity 4)
Te 0.0000 0.2856 0.6314 (multiplicity 8)
Te 0.0000 0.4725 0.2500 (multiplicity 4)
Pb 0.0000 0.3662 0.0672 (multiplicity 8)

Calculated values
ΔE_f (raw) in kcal/mol of atoms: -11.1
Calculated volume in Å³ per atom: 35.23
Relative energy among the computed polymorphs in meV/atom: 0.0

No. 2
## Mg3TiSi (GGA-PBE)

Data for a geometry-optimized Mg3TiSi structure.

Cell lengths 4.9277, 4.9277, 4.9277 Å; angles 90.00, 90.00, 90.00 degrees
Space group Pm-3m (No. 221)
One atom of each set of equivalent atoms:
Mg 0.0000 0.0000 0.5000 (multiplicity 3)
Ti 0.5000 0.5000 0.5000 (multiplicity 1)
Si 0.0000 0.0000 0.0000 (multiplicity 1)

Calculated values
ΔE_f (raw) in kcal/mol of atoms: 15.4
Calculated volume in Å³ per atom: 23.93
Relative energy among the computed polymorphs in meV/atom: 0.0

No. 3
## RbSrClF2 (GGA-PBE)

Data for a geometry-optimized RbSrClF2 structure.

Cell lengths 4.7744, 4.7744, 5.8713 Å; angles 90.00, 90.00, 90.00 degrees
Space group P4/mmm (No. 123)
One atom of each set of equivalent atoms:
Rb 0.0000 0.0000 0.0000 (multiplicity 1)
Sr 0.5000 0.5000 0.5000 (multiplicity 1)
Cl 0.5000 0.5000 0.0000 (multiplicity 1)
F 0.0000 0.5000 0.5000 (multiplicity 2)

Calculated values
ΔE_f (raw) in kcal/mol of atoms: -69.3
Calculated volume in Å³ per atom: 26.77

No. 4
## Zr3GaNi (GGA-PBE)

Data for a geometry-optimized Zr3GaNi structure.

Cell lengths 4.8284, 4.8284, 4.8284 Å; angles 90.00, 90.00, 90.00 degrees
Space group Pm-3m (No. 221)
One atom of each set of equivalent atoms:
Zr 0.0000 0.0000 0.5000 (multiplicity 3)
Ga 0.5000 0.5000 0.5000 (multiplicity 1)
Ni 0.0000 0.0000 0.0000 (multiplicity 1)

Calculated values
Calculated volume in Å³ per atom: 22.51
Formation enthalpy at 0 K in eV/atom: 0.10
Relative energy among the computed polymorphs in meV/atom: 0.0

No. 5
## VNiSb2I (GGA-PBE)

Data for a geometry-optimized VNiSb2I structure.

Cell lengths 5.0769, 5.0769, 5.5298 Å; angles 90.00, 90.00, 90.00 degrees
Space group P4/mmm (No. 123)
One atom of each set of equivalent atoms:
V 0.0000 0.0000 0.0000 (multiplicity 1)
Ni 0.5000 0.5000 0.5000 (multiplicity 1)
Sb 0.0000 0.5000 0.0000 (multiplicity 2)
I 0.0000 0.0000 0.5000 (multiplicity 1)

Calculated values
ΔE_f (raw) in kcal/mol of atoms: 19.8
Calculated volume in Å³ per atom: 28.51
Relative energy among the computed polymorphs in meV/atom: 0.0

No. 6
## Nd2SiP (GGA-PBE)

Data for a geometry-optimized Nd2SiP structure.

Cell lengths 4.3013, 23.3365, 4.0251 Å; angles 90.00, 90.00, 90.00 degrees
Space group Cmcm (No. 63)
One atom of each set of equivalent atoms:
Nd 0.0000 0.0674 0.2500 (multiplicity 4)
Nd 0.0000 0.3112 0.2500 (multiplicity 4)
Si 0.0000 0.4667 0.2500 (multiplicity 4)
P 0.0000 0.1882 0.2500 (multiplicity 4)

Calculated values
ΔE_f (raw) in kcal/mol of atoms: -26.4
Calculated volume in Å³ per atom: 25.25
Relative energy among the computed polymorphs in meV/atom: 0.0

No. 7
## PuSO (GGA-PBE)

Data for a geometry-optimized PuSO structure.

Cell lengths 5.9804, 5.9804, 5.9804 Å; angles 90.00, 90.00, 90.00 degrees
Space group F-43m (No. 216)
One atom of each set of equivalent atoms:
Pu 0.0000 0.0000 0.0000 (multiplicity 4)
S 0.2500 0.2500 0.7500 (multiplicity 4)
O 0.2500 0.2500 0.2500 (multiplicity 4)

Calculated values
ΔE_f (raw) in kcal/mol of atoms: -42.5
Calculated volume in Å³ per atom: 17.82

No. 8
## MgIrRu2 (GGA-PBE)

Data for a geometry-optimized MgIrRu2 structure.

Cell lengths 2.7491, 3.9057, 5.4952 Å; angles 90.00, 90.00, 90.00 degrees
Space group Pmmm (No. 47)
One atom of each set of equivalent atoms:
Mg 0.0000 0.0000 0.0000 (multiplicity 1)
Ir 0.0000 0.0000 0.5000 (multiplicity 1)
Ru 0.5000 0.5000 0.2607 (multiplicity 2)

Calculated values
Calculated volume in Å³ per atom: 14.75
Formation enthalpy at 0 K in eV/atom: 0.10

No. 9
## Be3CoAs (GGA-PBE)

Data for a geometry-optimized Be3CoAs structure.

Cell lengths 4.1766, 4.1766, 4.1766 Å; angles 90.00, 90.00, 90.00 degrees
Space group Pm-3m (No. 221)
One atom of each set of equivalent atoms:
Be 0.0000 0.0000 0.5000 (multiplicity 3)
Co 0.5000 0.5000 0.5000 (multiplicity 1)
As 0.0000 0.0000 0.0000 (multiplicity 1)

Calculated values
Calculated volume in Å³ per atom: 14.57
Formation enthalpy at 0 K in eV/atom: 1.15
Relative energy among the computed polymorphs in meV/atom: 545.9

No. 10
## Hf6Al3Co (GGA-PBE)

Data for a geometry-optimized Hf6Al3Co structure.

Cell lengths 5.4521, 7.7897, 10.7063 Å; angles 90.00, 118.27, 90.00 degrees
Space group P2_1/c (No. 14)
One atom of each set of equivalent atoms:
Hf 0.0535 0.1646 0.4495 (multiplicity 4)
Hf 0.3575 0.6865 0.4442 (multiplicity 4)
Hf 0.4161 0.0493 0.2632 (multiplicity 4)
Al 0.0000 0.0000 0.0000 (multiplicity 2)
Al 0.1303 0.1115 0.7582 (multiplicity 4)
Co 0.5000 0.0000 0.5000 (multiplicity 2)

Calculated values
Calculated volume in Å³ per atom: 20.02
Formation enthalpy at 0 K in eV/atom: -0.13

No. 11
## SrTbTlBi (GGA-PBE)

Data for a geometry-optimized SrTbTlBi structure.

Cell lengths 7.9709, 7.9709, 7.9709 Å; angles 90.00, 90.00, 90.00 degrees
Space group F-43m (No. 216)
One atom of each set of equivalent atoms:
Sr 0.0000 0.0000 0.0000 (multiplicity 4)
Tb 0.0000 0.0000 0.5000 (multiplicity 4)
Tl 0.2500 0.2500 0.7500 (multiplicity 4)
Bi 0.2500 0.2500 0.2500 (multiplicity 4)

Calculated values
Calculated volume in Å³ per atom: 31.65
Formation enthalpy at 0 K in eV/atom: -0.43

No. 12
## Tl5RhSe5 (GGA-PBE)

Data for a geometry-optimized Tl5RhSe5 structure.

Cell lengths 14.8845, 5.6667, 8.0415 Å; angles 90.00, 114.02, 90.00 degrees
Space group C2/m (No. 12)
One atom of each set of equivalent atoms:
Tl 0.0000 0.0000 0.0000 (multiplicity 2)
Tl 0.1376 0.5000 0.2657 (multiplicity 4)
Tl 0.2023 0.5000 0.7795 (multiplicity 4)
Rh 0.0000 0.0000 0.5000 (multiplicity 2)
Se 0.0000 0.5000 0.5000 (multiplicity 2)
Se 0.1243 0.0000 0.8179 (multiplicity 4)
Se 0.1416 0.0000 0.4115 (multiplicity 4)

Calculated values
ΔE_f (raw) in kcal/mol of atoms: -5.6
Calculated volume in Å³ per atom: 28.16

No. 13
## Zn2IrOs (GGA-PBE)

Data for a geometry-optimized Zn2IrOs structure.

Cell lengths 3.8410, 3.8410, 7.7876 Å; angles 90.00, 90.00, 90.00 degrees
Space group I4/mmm (No. 139)
One atom of each set of equivalent atoms:
Zn 0.0000 0.5000 0.2500 (multiplicity 4)
Ir 0.0000 0.0000 0.0000 (multiplicity 2)
Os 0.0000 0.0000 0.5000 (multiplicity 2)

Calculated values
Calculated volume in Å³ per atom: 14.36
Formation enthalpy at 0 K in eV/atom: 0.26
Relative energy among the computed polymorphs in meV/atom: 244.1

No. 14
## AlB2Br (GGA-PBE)

Data for a geometry-optimized AlB2Br structure.

Cell lengths 5.1251, 5.1251, 10.2560 Å; angles 90.00, 90.00, 90.00 degrees
Space group I-42d (No. 122)
One atom of each set of equivalent atoms:
Al 0.0000 0.0000 0.0000 (multiplicity 4)
B 0.2246 0.2500 0.1250 (multiplicity 8)
Br 0.0000 0.0000 0.5000 (multiplicity 4)

Calculated values
ΔE_f (raw) in kcal/mol of atoms: 24.2
Calculated volume in Å³ per atom: 16.84
Relative energy among the computed polymorphs in meV/atom: 0.0

No. 15
## TmGa3B4O12 (GGA-PBE)

Data for a geometry-optimized TmGa3B4O12 structure.

Cell lengths 9.5239, 9.5239, 7.5080 Å; angles 90.00, 90.00, 120.00 degrees
Space group R32 (No. 155, hexagonal axes)
One atom of each set of equivalent atoms:
Tm 0.0000 0.0000 0.0000 (multiplicity 3)
Ga 0.0000 0.5493 0.0000 (multiplicity 9)
B 0.0000 0.0000 0.5000 (multiplicity 3)
B 0.0000 0.4484 0.5000 (multiplicity 9)
O 0.0000 0.5934 0.5000 (multiplicity 9)
O 0.0000 0.8547 0.5000 (multiplicity 9)
O 0.0251 0.2093 0.1808 (multiplicity 18)

Calculated values
ΔE_f (raw) in kcal/mol of atoms: -54.6
Calculated volume in Å³ per atom: 9.83